Material: CrSi2Ni
Method: DFT, PBE-GGA
State: relaxed

Cell and atoms, written as POSCAR:
```
CrSi2Ni
1.0
5.6858 0.0000 0.0000
0.0000 5.6858 0.0000
0.0000 0.0000 5.6858
Cr Si Ni
4 8 4
direct
0.0000 0.0000 0.0000
0.0000 0.5000 0.5000
0.5000 0.0000 0.5000
0.5000 0.5000 0.0000
0.2500 0.2500 0.2500
0.2500 0.2500 0.7500
0.2500 0.7500 0.2500
0.2500 0.7500 0.7500
0.7500 0.2500 0.2500
0.7500 0.2500 0.7500
0.7500 0.7500 0.2500
0.7500 0.7500 0.7500
0.0000 0.0000 0.5000
0.0000 0.5000 0.0000
0.5000 0.0000 0.0000
0.5000 0.5000 0.5000
```

Calculated values
Energy relative to the elements, uncorrected ... -0.728 eV per formula unit
Magnetic moment ... 0.0 μB/cell
Calculated volume ... 11.49 Å³/atom